Entry 1:
Material: Li8Mg3
Method: DFT, GGA-PBE
State: optimized geometry

Cell: 5.226 5.226 11.546 Å, 105.68 105.68 47.65°
Element x y z (fractional)
Li (0.046, 0.046, 0.318)
Li (0.140, 0.140, 0.957)
Li (0.230, 0.230, 0.591)
Li (0.320, 0.320, 0.229)
Li (0.680, 0.680, 0.771)
Li (0.770, 0.770, 0.409)
Li (0.860, 0.860, 0.043)
Li (0.954, 0.954, 0.682)
Mg (0.409, 0.409, 0.862)
Mg (0.500, 0.500, 0.500)
Mg (0.591, 0.591, 0.138)

symmetry = C2/m
energy above the lowest structure with this stoichiometry = 0.00 kJ/mol of atoms

***

Entry 2:
Material: LiMg2
Method: DFT, GGA-PBE
State: optimized geometry

Cell: 3.442 3.442 5.791 Å, 107.06 107.06 90.09°
Element x y z (fractional)
Li (0.000, 0.000, 0.000)
Mg (0.341, 0.341, 0.684)
Mg (0.659, 0.659, 0.318)

symmetry = Cm

***

Entry 3:
Material: LiMg5
Method: DFT, GGA-PBE
State: optimized geometry

Cell: 5.187 8.316 8.316 Å, 21.88 90.00 90.00°
Element x y z (fractional)
Li (0.000, 0.000, 0.000)
Mg (0.000, 0.335, 0.335)
Mg (0.000, 0.664, 0.664)
Mg (0.500, 0.110, 0.110)
Mg (0.500, 0.445, 0.445)
Mg (0.500, 0.777, 0.777)

symmetry = Amm2
energy above the lowest structure with this stoichiometry = 0.01 kJ/mol of atoms

***

| no. | M_tot (μB/cell) | DFT total energy (eV per cell) |
| --- | --- | --- |
| 1 | 0.00 | -20.39 |
| 2 | 0.00 | -5.29 |
| 3 | 0.00 | -10.06 |